VASP calculation (PBE) on crystalline Tb2Nd7Ho2 at its relaxed geometry.

Summary:
- calculated formation energy (meV/atom) = 147
- DFT total energy (eV per atom) = -4.562
- energy relative to the lowest polymorph listed for this composition (kJ/mol of formula units) = 0

Lattice parameters (Å, degrees): 11.6057 11.4692 6.1111 90.00 111.97 90.00
With the nearest neighbours (Å) after each atom.
Space group C2/m (No. 12)
Symmetry-distinct sites (fractional):
Tb (0.0000, 0.2185, 0.0000)  6 Nd 3.39-3.56, 2 Ho 3.65
Nd (0.0000, 0.0000, 0.5000)  6 Nd 3.28-3.65
Nd (0.1816, 0.2285, 0.6768)  3 Nd 3.16-3.39, 2 Tb 3.39-3.53
Nd (0.2324, 0.0000, 0.1008)  5 Nd 3.39-3.65, 2 Ho 3.50-3.74, 2 Tb 3.56
Ho (0.0785, 0.5000, 0.2982)  2 Ho 3.41-3.57, 6 Nd 3.50-3.80, 2 Tb 3.65